5
Lattice="-2.802 2.725 2.555 1.603 -2.008 3.900 3.375 3.217 0.270" Properties=species:S:1:pos:R:3 comment="ZrFeTc3 | the Alexandria database | PBE | relaxed" n_ef_per_ev_cell=11.9 formation_energy_ev_per_atom=2.43 total_magnetization_mub_per_cell=0.004 e_above_lowest_polymorph_ev_per_atom=1.698 sg="Pm-3m (221)" pbc="T T T"
Tc 0.801 -1.004 1.950
Tc 1.687 1.609 0.135
Tc -1.401 1.363 1.278
Zr 0.000 0.000 0.000
Fe 1.088 1.967 3.363

***

6
Lattice="4.288 0.000 0.000 0.000 4.288 0.001 0.001 -0.001 8.215" Properties=species:S:1:pos:R:3 comment="NdBiN | the Alexandria database | PBE | relaxed" n_ef_per_ev_cell=4.9 total_magnetization_mub_per_cell=0.531 formation_energy_uncorrected_mev_per_atom=-680 e_above_lowest_polymorph_ev_per_atom=0.000 sg="P4/nmm (129)" pbc="T T T"
Nd 1.072 3.215 3.105
Nd 3.216 1.071 5.110
Bi 1.073 3.215 7.605
Bi 3.216 1.072 0.611
N 3.216 3.215 4.108
N 1.072 1.071 4.108